CoMoO4 after structural relaxation, computed with PBE+U.

Cell lengths 8.6136, 6.0780, 6.0780 Å; angles 120.14, 135.12, 44.88 degrees
Positions (direct):
Co1 0.7500 0.5000 0.5000
Mo1 0.5000 0.0000 0.0000
O1 0.6205 0.7771 0.2583
O2 0.1393 0.2229 0.7417
O3 0.6024 0.2583 0.2229
O4 0.6378 0.7417 0.7771

## Properties
ΔE to the lowest computed polymorph, eV/atom: 0.000
E, eV per cell: -40.7
D(E_F), states/eV/cell: 0.00